(A)
LiTl2Te: relaxed, PBE-GGA.

a = 5.492 Å, b = 5.492 Å, c = 5.492 Å
α = 60.00°, β = 60.00°, γ = 60.00°
Positions (direct):
1 Tl 0.250 0.250 0.250
2 Tl 0.000 0.000 0.000
3 Te 0.750 0.750 0.750
4 Li 0.500 0.500 0.500

Calculated values
Symmetry: F-43m
Magnetic moment (μB/atom): 0.00


(B)
LiTl2Te: relaxed, PBE-GGA.

a = 5.586 Å, b = 5.586 Å, c = 5.586 Å
α = 60.00°, β = 60.00°, γ = 60.00°
Positions (direct):
1 Li 0.000 0.000 0.000
2 Tl 0.750 0.750 0.750
3 Tl 0.250 0.250 0.250
4 Te 0.500 0.500 0.500

Calculated values
Symmetry: Fm-3m
Magnetic moment (μB/atom): 0.00


Going by the energies, (A) is most stable and the next is 50 meV/atom up.


(A)
LiTl2Te: relaxed, PBE-GGA.

a = 5.964 Å, b = 5.964 Å, c = 5.964 Å
α = 131.88°, β = 131.88°, γ = 70.42°
Positions (direct):
1 Tl 0.000 0.000 0.000
2 Tl 0.250 0.750 0.500
3 Te 0.750 0.250 0.500
4 Li 0.500 0.500 0.000

Calculated values
Symmetry: I-4m2
Magnetic moment (μB/atom): 0.00


(B)
LiTl2Te: relaxed, PBE-GGA.

a = 4.570 Å, b = 4.570 Å, c = 5.497 Å
α = 90.00°, β = 90.00°, γ = 90.05°
Positions (direct):
1 Li 0.500 0.000 0.500
2 Te 0.000 0.500 0.500
3 Tl 0.000 0.000 0.000
4 Tl 0.500 0.500 0.000

Calculated values
Symmetry: P4/mmm
Magnetic moment (μB/atom): 0.00


(C)
LiTl2Te: relaxed, PBE-GGA.

a = 4.008 Å, b = 4.010 Å, c = 7.242 Å
α = 90.00°, β = 90.00°, γ = 90.00°
Positions (direct):
1 Tl 0.000 0.000 0.975
2 Tl 0.500 0.500 0.259
3 Li 0.000 0.000 0.573
4 Te 0.500 0.500 0.694

Calculated values
Symmetry: P4mm
Magnetic moment (μB/atom): 0.00


Going by the energies, (B) is most stable and the next is 34 meV/atom up.


(A)
LiTl2Te: relaxed, PBE-GGA.

a = 8.794 Å, b = 8.794 Å, c = 6.949 Å
α = 50.75°, β = 50.75°, γ = 90.00°
Positions (direct):
1 Tl 0.375 0.379 0.750
2 Tl 0.129 0.625 0.250
3 Tl 0.621 0.125 0.250
4 Tl 0.875 0.871 0.750
5 Li 0.500 0.500 0.000
6 Li 0.250 0.750 0.500
7 Te 0.000 0.000 0.000
8 Te 0.750 0.250 0.500

Calculated values
Symmetry: I-42d
Magnetic moment (μB/atom): 0.00


(B)
LiTl2Te: relaxed, PBE-GGA.

a = 4.589 Å, b = 4.589 Å, c = 7.299 Å
α = 70.99°, β = 70.99°, γ = 60.48°
Positions (direct):
1 Te 0.211 0.211 0.361
2 Tl 0.993 0.993 0.025
3 Tl 0.765 0.765 0.707
4 Li 0.531 0.531 0.406

Calculated values
Symmetry: Cm
Magnetic moment (μB/atom): 0.00


Going by the energies, (B) is most stable and the next is 64 meV/atom up.


(A)
LiTl2Te: relaxed, PBE-GGA.

a = 8.084 Å, b = 8.084 Å, c = 8.084 Å
α = 30.19°, β = 30.19°, γ = 30.19°
Positions (direct):
1 Te 0.750 0.750 0.750
2 Li 0.250 0.250 0.250
3 Tl 0.504 0.504 0.504
4 Tl 0.996 0.996 0.996

Calculated values
Symmetry: R-3m
Magnetic moment (μB/atom): 0.00


(B)
LiTl2Te: relaxed, PBE-GGA.

a = 7.190 Å, b = 7.190 Å, c = 4.177 Å
α = 73.10°, β = 73.10°, γ = 34.77°
Positions (direct):
1 Li 0.750 0.750 0.750
2 Te 0.250 0.250 0.250
3 Tl 0.054 0.054 0.946
4 Tl 0.446 0.446 0.554

Calculated values
Symmetry: Immm
Magnetic moment (μB/atom): 0.00


Going by the energies, (B) is most stable and the next is 189 meV/atom up.